CuNiS2 | PBE | relaxed

Lattice parameters (Å, degrees): 3.383 3.383 4.849 90.00 90.00 90.00
Space group P4/mmm (No. 123)
Unique sites:
Cu: 0.000 0.000 0.000 (multiplicity 1)
Ni: 0.500 0.500 0.500 (multiplicity 1)
S: 0.000 0.000 0.500 (multiplicity 1)
S: 0.500 0.500 0.000 (multiplicity 1)

Results
- VASP energy (eV/atom) = -4.66